# 1
{
  "formula": "HfTl3Cu2Se6",
  "functional": "PBE",
  "state": "relaxed",
  "lattice": [[6.611, 0.377, -0.128], [-2.978, 5.915, -0.128], [-1.347, -2.333, 7.660]],
  "species": ["Hf", "Tl", "Tl", "Tl", "Cu", "Cu", "Se", "Se", "Se", "Se", "Se", "Se"],
  "frac_coords": [[0.000, 0.000, 0.000], [0.152, 0.848, 0.500], [0.848, 0.152, 0.500], [0.500, 0.500, 0.500], [0.327, 0.673, 0.000], [0.673, 0.327, 0.000], [0.976, 0.625, 0.789], [0.704, 0.704, 0.152], [0.024, 0.375, 0.211], [0.625, 0.976, 0.789], [0.296, 0.296, 0.848], [0.375, 0.024, 0.211]],
  "e_form_raw_kj_per_mol_atoms": -42.6
}

---

# 2
{
  "formula": "Sr2Re2MoN6",
  "functional": "PBE",
  "state": "relaxed",
  "lattice": [[5.857, 0.000, 0.000], [2.928, 5.072, 0.000], [2.928, 1.691, 6.243]],
  "species": ["Sr", "Sr", "Re", "Re", "Mo", "N", "N", "N", "N", "N", "N"],
  "frac_coords": [[0.742, 0.742, 0.775], [0.258, 0.258, 0.225], [0.430, 0.430, 0.710], [0.570, 0.570, 0.290], [0.000, 0.000, 0.000], [0.771, 0.771, 0.194], [0.263, 0.771, 0.194], [0.771, 0.263, 0.194], [0.229, 0.737, 0.806], [0.737, 0.229, 0.806], [0.229, 0.229, 0.806]],
  "e_form_raw_kj_per_mol_atoms": -44.4
}

---

# 3
{
  "formula": "RbPt2RhSe",
  "functional": "PBE",
  "state": "relaxed",
  "lattice": [[-0.342, 2.975, 3.639], [-3.360, -3.978, 2.936], [3.883, -1.878, 1.899]],
  "species": ["Se", "Rh", "Rb", "Pt", "Pt"],
  "frac_coords": [[0.000, 0.000, 0.000], [0.500, 0.500, 0.500], [0.000, 0.500, 0.000], [0.000, 0.000, 0.500], [0.500, 0.000, 0.000]],
  "e_form_raw_kj_per_mol_atoms": 90.1
}

---

# 4
{
  "formula": "CeErGaPd",
  "functional": "PBE",
  "state": "relaxed",
  "lattice": [[5.060, 0.000, 0.000], [2.530, 4.382, 0.000], [2.530, 1.461, 4.131]],
  "species": ["Ga", "Pd", "Ce", "Er"],
  "frac_coords": [[0.750, 0.750, 0.750], [0.250, 0.250, 0.250], [0.000, 0.000, 0.000], [0.500, 0.500, 0.500]]
}

---

# 5
{
  "formula": "Cr3As",
  "functional": "PBE",
  "state": "relaxed",
  "lattice": [[-0.318, 3.273, -3.395], [0.197, -4.505, -1.416], [-2.375, 0.859, 3.995]],
  "species": ["As", "Cr", "Cr", "Cr"],
  "frac_coords": [[0.000, 0.000, 0.000], [0.500, 0.000, 0.500], [0.500, 0.500, 0.000], [0.000, 0.500, 0.500]]
}

---

Calculated uncorrected energy in order - -51.44 -94.10 -19.22 -21.11 -32.55 eV per cell
Calculated Fermi-level density of states in order - 0.513 0.249 2.205 1.590 1.270 states/eV/atom